{
  "formula": "Pr2TeO6",
  "functional": "PBEsol",
  "state": "optimized geometry",
  "cell": [[5.4623, 0.0000, 0.0000], [0.0000, 9.3650, 0.0000], [0.0000, 0.0000, 10.2394]],
  "species": ["Pr", "Pr", "Pr", "Pr", "Pr", "Pr", "Pr", "Pr", "Te", "Te", "Te", "Te", "O", "O", "O", "O", "O", "O", "O", "O", "O", "O", "O", "O", "O", "O", "O", "O", "O", "O", "O", "O", "O", "O", "O", "O"],
  "fractional_positions": [[0.0273, 0.1038, 0.0405], [0.0332, 0.2175, 0.6372], [0.4668, 0.7825, 0.1372], [0.4727, 0.8962, 0.5405], [0.5273, 0.3962, 0.9595], [0.5332, 0.2825, 0.3628], [0.9668, 0.7175, 0.8628], [0.9727, 0.6038, 0.4595], [0.0427, 0.4954, 0.1430], [0.4573, 0.5046, 0.6430], [0.5427, 0.0046, 0.8570], [0.9573, 0.9954, 0.3570], [0.0657, 0.8509, 0.4794], [0.1666, 0.9456, 0.2141], [0.1786, 0.6368, 0.2576], [0.1916, 0.6386, 0.6758], [0.2209, 0.1106, 0.4357], [0.2504, 0.4126, 0.5093], [0.2496, 0.5874, 0.0093], [0.2791, 0.8894, 0.9357], [0.3084, 0.3614, 0.1758], [0.3214, 0.3632, 0.7576], [0.3334, 0.0544, 0.7141], [0.4343, 0.1491, 0.9794], [0.5657, 0.6491, 0.5206], [0.6666, 0.5544, 0.7859], [0.6786, 0.8632, 0.7424], [0.6916, 0.8614, 0.3242], [0.7209, 0.3894, 0.5643], [0.7504, 0.0874, 0.4907], [0.7496, 0.9126, 0.9907], [0.7791, 0.6106, 0.0643], [0.8084, 0.1386, 0.8242], [0.8214, 0.1368, 0.2424], [0.8334, 0.4456, 0.2859], [0.9343, 0.3509, 0.0206]],
  "total_energy_ev_per_cell": -271.487
}

{
  "formula": "Pr2Ti2O7",
  "functional": "PBEsol",
  "state": "optimized geometry",
  "cell": [[7.6809, 0.0000, 0.0000], [0.0000, 5.4841, 0.0000], [-1.9376, 0.0000, 12.9081]],
  "species": ["Pr", "Pr", "Pr", "Pr", "Pr", "Pr", "Pr", "Pr", "Ti", "Ti", "Ti", "Ti", "Ti", "Ti", "Ti", "Ti", "O", "O", "O", "O", "O", "O", "O", "O", "O", "O", "O", "O", "O", "O", "O", "O", "O", "O", "O", "O", "O", "O", "O", "O", "O", "O", "O", "O"],
  "fractional_positions": [[0.1456, 0.0000, 0.0727], [0.2286, 0.5960, 0.4086], [0.2810, 0.1066, 0.6197], [0.3504, 0.5689, 0.8820], [0.6496, 0.0689, 0.1180], [0.7190, 0.6066, 0.3803], [0.7714, 0.0960, 0.5914], [0.8544, 0.5000, 0.9273], [0.0312, 0.5919, 0.6186], [0.0734, 0.0685, 0.8202], [0.4158, 0.5613, 0.1743], [0.4721, 0.0938, 0.3791], [0.5279, 0.5938, 0.6209], [0.5842, 0.0613, 0.8257], [0.9266, 0.5685, 0.1798], [0.9688, 0.0919, 0.3814], [0.0241, 0.9070, 0.6834], [0.0410, 0.3331, 0.5178], [0.0792, 0.8004, 0.9065], [0.1157, 0.3932, 0.7271], [0.1297, 0.2856, 0.9290], [0.1744, 0.6583, 0.1966], [0.2230, 0.0422, 0.3918], [0.2729, 0.6782, 0.5920], [0.3272, 0.0035, 0.8063], [0.3745, 0.2779, 0.1106], [0.4092, 0.7696, 0.0584], [0.4341, 0.4112, 0.3182], [0.4687, 0.3336, 0.5195], [0.4981, 0.3980, 0.7301], [0.5019, 0.8980, 0.2699], [0.5313, 0.8336, 0.4805], [0.5659, 0.9112, 0.6818], [0.5908, 0.2696, 0.9416], [0.6255, 0.7779, 0.8894], [0.6728, 0.5035, 0.1937], [0.7271, 0.1782, 0.4080], [0.7770, 0.5422, 0.6082], [0.8256, 0.1583, 0.8034], [0.8703, 0.7856, 0.0710], [0.8843, 0.8932, 0.2729], [0.9208, 0.3004, 0.0935], [0.9590, 0.8331, 0.4822], [0.9759, 0.4070, 0.3166]],
  "total_energy_ev_per_cell": -401.083
}

{
  "formula": "Pr2TiO5",
  "functional": "PBEsol",
  "state": "optimized geometry",
  "cell": [[10.7950, 0.0000, 0.0000], [0.0000, 3.8453, 0.0000], [0.0000, 0.0000, 11.4490]],
  "species": ["Pr", "Pr", "Pr", "Pr", "Pr", "Pr", "Pr", "Pr", "Ti", "Ti", "Ti", "Ti", "O", "O", "O", "O", "O", "O", "O", "O", "O", "O", "O", "O", "O", "O", "O", "O", "O", "O", "O", "O"],
  "fractional_positions": [[0.1035, 0.2500, 0.2194], [0.1372, 0.2500, 0.5565], [0.3628, 0.7500, 0.0565], [0.3965, 0.7500, 0.7194], [0.6035, 0.2500, 0.2806], [0.6372, 0.2500, 0.9435], [0.8628, 0.7500, 0.4435], [0.8965, 0.7500, 0.7806], [0.1851, 0.2500, 0.8748], [0.3149, 0.7500, 0.3748], [0.6851, 0.2500, 0.6252], [0.8149, 0.7500, 0.1252], [0.0092, 0.7500, 0.6033], [0.0249, 0.2500, 0.8390], [0.2231, 0.2500, 0.0353], [0.2307, 0.7500, 0.2289], [0.2376, 0.7500, 0.8776], [0.2624, 0.2500, 0.3776], [0.2693, 0.2500, 0.7289], [0.2769, 0.7500, 0.5353], [0.4751, 0.7500, 0.3390], [0.4908, 0.2500, 0.1033], [0.5092, 0.7500, 0.8967], [0.5249, 0.2500, 0.6610], [0.7231, 0.2500, 0.4647], [0.7307, 0.7500, 0.2711], [0.7376, 0.7500, 0.6224], [0.7624, 0.2500, 0.1224], [0.7693, 0.2500, 0.7711], [0.7769, 0.7500, 0.9647], [0.9751, 0.7500, 0.1610], [0.9908, 0.2500, 0.3967]],
  "total_energy_ev_per_cell": -286.744
}

{
  "formula": "PrTlW2O8",
  "functional": "PBEsol",
  "state": "optimized geometry",
  "cell": [[5.4313, -5.3640, 0.0000], [5.4313, 5.3640, 0.0000], [-4.9069, 0.0000, 5.7381]],
  "species": ["Pr", "Pr", "Tl", "Tl", "W", "W", "W", "W", "O", "O", "O", "O", "O", "O", "O", "O", "O", "O", "O", "O", "O", "O", "O", "O"],
  "fractional_positions": [[0.2266, 0.7734, 0.7500], [0.7734, 0.2266, 0.2500], [0.2135, 0.7865, 0.2500], [0.7865, 0.2135, 0.7500], [0.3039, 0.3088, 0.7691], [0.3088, 0.3039, 0.2691], [0.6912, 0.6961, 0.7309], [0.6961, 0.6912, 0.2309], [0.0521, 0.2088, 0.1839], [0.0757, 0.3910, 0.6357], [0.2088, 0.0521, 0.6839], [0.2451, 0.3791, 0.0548], [0.3695, 0.5816, 0.5215], [0.3791, 0.2451, 0.5548], [0.3910, 0.0757, 0.1357], [0.4184, 0.6305, 0.9785], [0.5816, 0.3695, 0.0215], [0.6090, 0.9243, 0.8643], [0.6209, 0.7549, 0.4452], [0.6305, 0.4184, 0.4785], [0.7549, 0.6209, 0.9452], [0.7912, 0.9479, 0.3161], [0.9243, 0.6090, 0.3643], [0.9479, 0.7912, 0.8161]],
  "total_energy_ev_per_cell": -211.040
}

{
  "formula": "PrVO4",
  "functional": "PBEsol",
  "state": "optimized geometry",
  "cell": [[-3.6883, 3.6883, 3.2146], [3.6883, -3.6883, 3.2146], [3.6883, 3.6883, -3.2146]],
  "species": ["Pr", "Pr", "V", "V", "O", "O", "O", "O", "O", "O", "O", "O"],
  "fractional_positions": [[0.3750, 0.6250, 0.7500], [0.6250, 0.3750, 0.2500], [0.1250, 0.8750, 0.2500], [0.8750, 0.1250, 0.7500], [0.1349, 0.7056, 0.4293], [0.2237, 0.2944, 0.9293], [0.2944, 0.2237, 0.4293], [0.2944, 0.8651, 0.0707], [0.7056, 0.1349, 0.9293], [0.7056, 0.7763, 0.5707], [0.7763, 0.7056, 0.0707], [0.8651, 0.2944, 0.5707]],
  "total_energy_ev_per_cell": -107.590
}

{
  "formula": "PrVO4",
  "functional": "PBEsol",
  "state": "optimized geometry",
  "cell": [[6.6187, 0.0000, 0.0000], [0.0000, 7.1941, 0.0000], [-4.8233, 0.0000, 6.7150]],
  "species": ["Pr", "Pr", "Pr", "Pr", "V", "V", "V", "V", "O", "O", "O", "O", "O", "O", "O", "O", "O", "O", "O", "O", "O", "O", "O", "O"],
  "fractional_positions": [[0.1761, 0.1544, 0.2772], [0.1761, 0.3456, 0.7772], [0.8239, 0.6544, 0.2228], [0.8239, 0.8456, 0.7228], [0.3154, 0.6639, 0.2000], [0.3154, 0.8361, 0.7000], [0.6846, 0.1639, 0.3000], [0.6846, 0.3361, 0.8000], [0.1121, 0.6532, 0.6124], [0.1121, 0.8468, 0.1124], [0.1768, 0.0045, 0.7535], [0.1768, 0.4955, 0.2535], [0.3486, 0.6040, 0.0180], [0.3486, 0.8960, 0.5180], [0.3840, 0.2199, 0.1139], [0.3840, 0.2801, 0.6139], [0.6160, 0.7199, 0.3861], [0.6160, 0.7801, 0.8861], [0.6514, 0.1040, 0.4820], [0.6514, 0.3960, 0.9820], [0.8232, 0.5045, 0.7465], [0.8232, 0.9955, 0.2465], [0.8879, 0.1532, 0.8876], [0.8879, 0.3468, 0.3876]],
  "total_energy_ev_per_cell": -214.475
}

{
  "formula": "Pr2WO6",
  "functional": "PBEsol",
  "state": "optimized geometry",
  "cell": [[8.3025, -5.7096, 0.0000], [8.3025, 5.7096, 0.0000], [-1.6414, 0.0000, 5.3029]],
  "species": ["Pr", "Pr", "Pr", "Pr", "Pr", "Pr", "Pr", "Pr", "W", "W", "W", "W", "O", "O", "O", "O", "O", "O", "O", "O", "O", "O", "O", "O", "O", "O", "O", "O", "O", "O", "O", "O", "O", "O", "O", "O"],
  "fractional_positions": [[0.0600, 0.2907, 0.8870], [0.1097, 0.8903, 0.7500], [0.2907, 0.0600, 0.3870], [0.3706, 0.6294, 0.2500], [0.6294, 0.3706, 0.7500], [0.7093, 0.9400, 0.6130], [0.8903, 0.1097, 0.2500], [0.9400, 0.7093, 0.1130], [0.1976, 0.4972, 0.5654], [0.4972, 0.1976, 0.0654], [0.5028, 0.8024, 0.9346], [0.8024, 0.5028, 0.4346], [0.0618, 0.4725, 0.2770], [0.0794, 0.1056, 0.0780], [0.1056, 0.0794, 0.5780], [0.1608, 0.6799, 0.4203], [0.1755, 0.6170, 0.8732], [0.2172, 0.3230, 0.6410], [0.3201, 0.8392, 0.0797], [0.3230, 0.2172, 0.1410], [0.3818, 0.4567, 0.5216], [0.3830, 0.8245, 0.6268], [0.4567, 0.3818, 0.0216], [0.4725, 0.0618, 0.7770], [0.5275, 0.9382, 0.2230], [0.5433, 0.6182, 0.9784], [0.6170, 0.1755, 0.3732], [0.6182, 0.5433, 0.4784], [0.6770, 0.7828, 0.8590], [0.6799, 0.1608, 0.9203], [0.7828, 0.6770, 0.3590], [0.8245, 0.3830, 0.1268], [0.8392, 0.3201, 0.5797], [0.8944, 0.9206, 0.4220], [0.9206, 0.8944, 0.9220], [0.9382, 0.5275, 0.7230]],
  "total_energy_ev_per_cell": -329.240
}

{
  "formula": "Pr2W3O12",
  "functional": "PBEsol",
  "state": "optimized geometry",
  "cell": [[3.9252, -5.8140, 0.0000], [3.9252, 5.8140, 0.0000], [-3.8958, 0.0000, 10.9209]],
  "species": ["Pr", "Pr", "Pr", "Pr", "W", "W", "W", "W", "W", "W", "O", "O", "O", "O", "O", "O", "O", "O", "O", "O", "O", "O", "O", "O", "O", "O", "O", "O", "O", "O", "O", "O", "O", "O"],
  "fractional_positions": [[0.0409, 0.2882, 0.0942], [0.2882, 0.0409, 0.5942], [0.7118, 0.9591, 0.4058], [0.9591, 0.7118, 0.9058], [0.1335, 0.8665, 0.2500], [0.2521, 0.4620, 0.4531], [0.4620, 0.2521, 0.9531], [0.5380, 0.7479, 0.0469], [0.7479, 0.5380, 0.5469], [0.8665, 0.1335, 0.7500], [0.0834, 0.6630, 0.1108], [0.0895, 0.1901, 0.4612], [0.1085, 0.4583, 0.3063], [0.1180, 0.2067, 0.7190], [0.1901, 0.0895, 0.9612], [0.2067, 0.1180, 0.2190], [0.2313, 0.6614, 0.5607], [0.3370, 0.9166, 0.3892], [0.3386, 0.7687, 0.9393], [0.3997, 0.4747, 0.0725], [0.4583, 0.1085, 0.8063], [0.4747, 0.3997, 0.5725], [0.5253, 0.6003, 0.4275], [0.5417, 0.8915, 0.1937], [0.6003, 0.5253, 0.9275], [0.6614, 0.2313, 0.0607], [0.6630, 0.0834, 0.6108], [0.7687, 0.3386, 0.4393], [0.7933, 0.8820, 0.7810], [0.8099, 0.9105, 0.0388], [0.8820, 0.7933, 0.2810], [0.8915, 0.5417, 0.6937], [0.9105, 0.8099, 0.5388], [0.9166, 0.3370, 0.8892]],
  "total_energy_ev_per_cell": -317.552
}

{
  "formula": "Pr2Zr2O7",
  "functional": "PBEsol",
  "state": "optimized geometry",
  "cell": [[0.0000, 5.3440, 5.3440], [5.3440, 0.0000, 5.3440], [5.3440, 5.3440, 0.0000]],
  "species": ["Pr", "Pr", "Pr", "Pr", "Zr", "Zr", "Zr", "Zr", "O", "O", "O", "O", "O", "O", "O", "O", "O", "O", "O", "O", "O", "O"],
  "fractional_positions": [[0.0000, 0.0000, 0.0000], [0.0000, 0.0000, 0.5000], [0.0000, 0.5000, 0.0000], [0.5000, 0.0000, 0.0000], [0.0000, 0.5000, 0.5000], [0.5000, 0.0000, 0.5000], [0.5000, 0.5000, 0.0000], [0.5000, 0.5000, 0.5000], [0.1250, 0.1250, 0.1250], [0.1657, 0.1657, 0.5843], [0.1657, 0.5843, 0.1657], [0.1657, 0.5843, 0.5843], [0.4157, 0.4157, 0.8343], [0.4157, 0.8343, 0.4157], [0.4157, 0.8343, 0.8343], [0.5843, 0.1657, 0.1657], [0.5843, 0.1657, 0.5843], [0.5843, 0.5843, 0.1657], [0.8343, 0.4157, 0.4157], [0.8343, 0.4157, 0.8343], [0.8343, 0.8343, 0.4157], [0.8750, 0.8750, 0.8750]],
  "total_energy_ev_per_cell": -207.022
}

{
  "formula": "PtO2",
  "functional": "PBEsol",
  "state": "optimized geometry",
  "cell": [[3.1232, 0.0000, 0.0000], [-1.5616, 2.7048, 0.0000], [0.0000, 0.0000, 8.8129]],
  "species": ["Pt", "Pt", "O", "O", "O", "O"],
  "fractional_positions": [[0.3333, 0.6667, 0.0000], [0.6667, 0.3333, 0.5000], [0.0000, 0.0000, 0.3944], [0.0000, 0.0000, 0.8944], [0.3333, 0.6667, 0.6056], [0.6667, 0.3333, 0.1056]],
  "total_energy_ev_per_cell": -37.817
}

{
  "formula": "PtO2",
  "functional": "PBEsol",
  "state": "optimized geometry",
  "cell": [[3.1240, 0.0000, 0.0000], [-1.5620, 2.7055, 0.0000], [0.0000, 0.0000, 4.3417]],
  "species": ["Pt", "O", "O"],
  "fractional_positions": [[0.0000, 0.0000, 0.0000], [0.3333, 0.6667, 0.7858], [0.6667, 0.3333, 0.2142]],
  "total_energy_ev_per_cell": -18.908
}

{
  "formula": "PtO2",
  "functional": "PBEsol",
  "state": "optimized geometry",
  "cell": [[4.5122, 0.0000, 0.0000], [0.0000, 4.5122, 0.0000], [0.0000, 0.0000, 3.2116]],
  "species": ["Pt", "Pt", "O", "O", "O", "O"],
  "fractional_positions": [[0.0000, 0.0000, 0.0000], [0.5000, 0.5000, 0.5000], [0.1900, 0.1900, 0.5000], [0.3100, 0.6900, 0.0000], [0.6900, 0.3100, 0.0000], [0.8100, 0.8100, 0.5000]],
  "total_energy_ev_per_cell": -37.809
}

{
  "formula": "PtO2",
  "functional": "PBEsol",
  "state": "optimized geometry",
  "cell": [[4.9131, 0.0000, 0.0000], [0.0000, 4.9131, 0.0000], [0.0000, 0.0000, 4.9131]],
  "species": ["Pt", "Pt", "Pt", "Pt", "O", "O", "O", "O", "O", "O", "O", "O"],
  "fractional_positions": [[0.0000, 0.0000, 0.0000], [0.0000, 0.5000, 0.5000], [0.5000, 0.0000, 0.5000], [0.5000, 0.5000, 0.0000], [0.1551, 0.6551, 0.8449], [0.1551, 0.8449, 0.3449], [0.3449, 0.1551, 0.8449], [0.3449, 0.3449, 0.3449], [0.6551, 0.6551, 0.6551], [0.6551, 0.8449, 0.1551], [0.8449, 0.1551, 0.6551], [0.8449, 0.3449, 0.1551]],
  "total_energy_ev_per_cell": -75.410
}

{
  "formula": "PtO3",
  "functional": "PBEsol",
  "state": "optimized geometry",
  "cell": [[2.3992, 1.3852, 4.1875], [-2.3992, 1.3852, 4.1875], [0.0000, -2.7703, 4.1875]],
  "species": ["Pt", "Pt", "O", "O", "O", "O", "O", "O"],
  "fractional_positions": [[0.0000, 0.0000, 0.0000], [0.5000, 0.5000, 0.5000], [0.0707, 0.7500, 0.4293], [0.2500, 0.5707, 0.9293], [0.4293, 0.0707, 0.7500], [0.5707, 0.9293, 0.2500], [0.7500, 0.4293, 0.0707], [0.9293, 0.2500, 0.5707]],
  "total_energy_ev_per_cell": -46.672
}

{
  "formula": "PtO3",
  "functional": "PBEsol",
  "state": "optimized geometry",
  "cell": [[4.9236, 0.0000, 0.0000], [0.0000, 7.0620, 0.0000], [0.0000, 0.0000, 4.8265]],
  "species": ["Pt", "Pt", "Pt", "Pt", "O", "O", "O", "O", "O", "O", "O", "O", "O", "O", "O", "O"],
  "fractional_positions": [[0.0000, 0.0000, 0.0000], [0.0000, 0.5000, 0.0000], [0.5000, 0.0000, 0.5000], [0.5000, 0.5000, 0.5000], [0.0569, 0.2500, 0.1571], [0.1478, 0.0791, 0.6445], [0.1478, 0.4209, 0.6445], [0.3522, 0.5791, 0.1445], [0.3522, 0.9209, 0.1445], [0.4431, 0.7500, 0.6571], [0.5569, 0.2500, 0.3429], [0.6478, 0.0791, 0.8555], [0.6478, 0.4209, 0.8555], [0.8522, 0.5791, 0.3555], [0.8522, 0.9209, 0.3555], [0.9431, 0.7500, 0.8429]],
  "total_energy_ev_per_cell": -93.069
}

For reference, energy relative to the elements, uncorrected by record: -2.50, -3.32, -3.34, -2.34, -3.00, -2.97, -2.96, -2.59, -3.47, -0.48, -0.48, -0.48, -0.46, -0.16, -0.14 eV per atom.